Entry 1:
VASP calculation (PBE) on a relaxed GdYCdFe crystal.

- mass density (Mg/m³) = 7.34
- ΔE_f (eV per atom) = 0.017
- M_tot (μB per cell) = 8.64

Lattice parameters (Å, degrees): 5.0989 5.0989 5.0989 60.00 60.00 60.00
Last column: nearest neighbours and their distance in Å.
Positions (direct):
Gd (0.0000, 0.0000, 0.0000)  4 Fe 3.12, 4 Cd 3.12
Y (0.5000, 0.5000, 0.5000)  4 Fe 3.12, 4 Cd 3.12
Cd (0.2500, 0.2500, 0.2500)  4 Y 3.12, 4 Gd 3.12
Fe (0.7500, 0.7500, 0.7500)  4 Y 3.12, 4 Gd 3.12

Entry 2:
VASP calculation (PBE) on a relaxed CdFeGe3 crystal.

- mass density (Mg/m³) = 6.40
- ΔE_f (eV per atom) = 0.205
- M_tot (μB per cell) = 1.85

Lattice parameters (Å, degrees): 4.6443 4.6443 4.6443 90.00 90.00 90.00
Last column: nearest neighbours and their distance in Å.
Positions (direct):
Cd (0.0000, 0.0000, 0.0000)  12 Ge 3.28
Fe (0.5000, 0.5000, 0.5000)  6 Ge 2.32
Ge (0.0000, 0.5000, 0.5000)  2 Fe 2.32
Ge (0.5000, 0.0000, 0.5000)  2 Fe 2.32
Ge (0.5000, 0.5000, 0.0000)  2 Fe 2.32

Entry 3:
VASP calculation (PBE) on a relaxed CdFeGe2 crystal.

- mass density (Mg/m³) = 7.41
- ΔE_f (eV per atom) = 0.097
- M_tot (μB per cell) = 1.13

Lattice parameters (Å, degrees): 8.9120 8.9120 8.9120 19.68 19.68 19.68
Last column: nearest neighbours and their distance in Å.
Positions (direct):
Cd (0.0000, 0.0000, 0.0000)  2 Ge 2.69
Fe (0.5000, 0.5000, 0.5000)  6 Ge 2.43
Ge (0.1025, 0.1025, 0.1025)  3 Fe 2.43, 1 Cd 2.69
Ge (0.8975, 0.8975, 0.8975)  3 Fe 2.43, 1 Cd 2.69

Entry 4:
VASP calculation (PBE) on a relaxed CdFeGe2 crystal.

- mass density (Mg/m³) = 6.73
- ΔE_f (eV per atom) = 0.345
- M_tot (μB per cell) = 5.16

Lattice parameters (Å, degrees): 8.8653 8.8653 8.8653 151.85 151.85 40.23
Last column: nearest neighbours and their distance in Å.
Positions (direct):
Cd (0.0000, 0.0000, 0.0000)  4 Ge 2.73, 4 Fe 3.05
Cd (0.7500, 0.2500, 0.5000)  4 Ge 2.73, 4 Fe 3.05
Fe (0.2500, 0.7500, 0.5000)  4 Ge 2.46
Fe (0.5000, 0.5000, 0.0000)  4 Ge 2.46
Ge (0.2015, 0.6250, 0.0765)  2 Fe 2.46, 2 Ge 2.62, 2 Cd 2.73
Ge (0.3750, 0.4515, 0.5765)  2 Fe 2.46, 2 Ge 2.62, 2 Cd 2.73
Ge (0.5485, 0.1250, 0.9235)  2 Fe 2.46, 2 Ge 2.62, 2 Cd 2.73
Ge (0.8750, 0.7985, 0.4235)  2 Fe 2.46, 2 Ge 2.62, 2 Cd 2.73

Entry 5:
VASP calculation (PBE) on a relaxed Cd2FeGe2 crystal.

- mass density (Mg/m³) = 7.59
- ΔE_f (eV per atom) = 0.252
- M_tot (μB per cell) = 4.01

Lattice parameters (Å, degrees): 6.3519 6.3519 4.6174 90.00 90.00 90.00
Last column: nearest neighbours and their distance in Å.
Positions (direct):
Cd (0.1822, 0.3178, 0.0000)  6 Ge 2.78-3.11
Cd (0.3178, 0.8178, 0.0000)  6 Ge 2.78-3.11
Cd (0.6822, 0.1822, 0.0000)  6 Ge 2.78-3.11
Cd (0.8178, 0.6822, 0.0000)  6 Ge 2.78-3.11
Fe (0.0000, 0.0000, 0.5000)  4 Ge 2.44
Fe (0.5000, 0.5000, 0.5000)  4 Ge 2.44
Ge (0.1446, 0.6446, 0.5000)  2 Fe 2.44, 1 Ge 2.60
Ge (0.3554, 0.1446, 0.5000)  2 Fe 2.44, 1 Ge 2.60
Ge (0.6446, 0.8554, 0.5000)  2 Fe 2.44, 1 Ge 2.60
Ge (0.8554, 0.3554, 0.5000)  2 Fe 2.44, 1 Ge 2.60

Entry 6:
VASP calculation (PBE) on a relaxed Cd2Fe2Ge crystal.

- mass density (Mg/m³) = 8.26
- ΔE_f (eV per atom) = 0.163
- M_tot (μB per cell) = 7.52

Lattice parameters (Å, degrees): 6.1171 6.1171 4.3962 90.00 90.00 90.00
Last column: nearest neighbours and their distance in Å.
Positions (direct):
Cd (0.1672, 0.3328, 0.0000)  6 Fe 2.78-2.88, 1 Cd 2.89
Cd (0.3328, 0.8328, 0.0000)  6 Fe 2.78-2.88, 1 Cd 2.89
Cd (0.6672, 0.1672, 0.0000)  6 Fe 2.78-2.88, 1 Cd 2.89
Cd (0.8328, 0.6672, 0.0000)  6 Fe 2.78-2.88, 1 Cd 2.89
Fe (0.1356, 0.6356, 0.5000)  1 Fe 2.35, 2 Ge 2.38
Fe (0.3644, 0.1356, 0.5000)  1 Fe 2.35, 2 Ge 2.38
Fe (0.6356, 0.8644, 0.5000)  1 Fe 2.35, 2 Ge 2.38
Fe (0.8644, 0.3644, 0.5000)  1 Fe 2.35, 2 Ge 2.38
Ge (0.0000, 0.0000, 0.5000)  4 Fe 2.38
Ge (0.5000, 0.5000, 0.5000)  4 Fe 2.38